No. 1
First-principles (PBE-GGA) data for an optimized crystal structure of Pm2MnSi2, as listed in Alexandria.

```
Pm2MnSi2
1.0
-4.8158 2.4221 2.1758
-3.4348 -5.0549 -1.9754
5.1490 -1.4821 5.2808
Mn Pm Si
2 4 4
Direct
0.2500 0.5000 0.0000
0.7500 0.5000 0.0000
0.6424 0.9493 0.2847
0.3576 0.0507 0.7153
0.1424 0.3354 0.2847
0.8576 0.6646 0.7153
0.1047 0.8173 0.2095
0.6047 0.3921 0.2095
0.8953 0.1827 0.7905
0.3953 0.6079 0.7905
```

## Properties
- energy relative to the elements, uncorrected (meV/atom) = -472
- magnetic moment (μB per formula unit) = 2.1
- total DFT energy (no corrections) (eV/cell) = -63.76


No. 2
First-principles (PBE-GGA) data for an optimized crystal structure of PmMn4Si2, as listed in Alexandria.

```
PmMn4Si2
1.0
3.8394 0.0000 -0.8008
0.0000 3.8982 0.0000
-0.5785 0.0000 6.8317
Si Pm Mn
2 1 4
Direct
0.5969 0.5000 0.1937
0.4031 0.5000 0.8063
0.0000 0.0000 0.0000
0.7019 0.0000 0.4039
0.2981 0.0000 0.5961
0.2016 0.5000 0.4034
0.7984 0.5000 0.5966
```

## Properties
- energy relative to the elements, uncorrected (meV/atom) = -437
- magnetic moment (μB per formula unit) = 0.0
- total DFT energy (no corrections) (eV/cell) = -55.33


No. 3
First-principles (PBE-GGA) data for an optimized crystal structure of Pm2MnSi3, as listed in Alexandria.

```
Pm2MnSi3
1.0
-4.4489 -1.6843 1.3823
2.4916 -0.9572 6.8530
-2.8510 6.7041 -1.0072
Pm Si Mn
4 6 2
Direct
0.7500 0.5227 0.8190
0.7500 0.8190 0.5227
0.2500 0.4773 0.1810
0.2500 0.1810 0.4773
0.5000 0.8478 0.1522
0.0000 0.8478 0.1522
0.0000 0.1522 0.8478
0.7500 0.3672 0.3672
0.2500 0.6328 0.6328
0.5000 0.1522 0.8478
0.2500 0.9120 0.9120
0.7500 0.0880 0.0880
```

## Properties
- energy relative to the elements, uncorrected (meV/atom) = -434
- magnetic moment (μB per formula unit) = 0.0
- total DFT energy (no corrections) (eV/cell) = -75.09


- Among the records above, which one has the lowest total DFT energy (no corrections)?
  Pm2MnSi3